(1)
First-principles (PBE-GGA) data for Li6GaCu5 after structural relaxation, as listed in Alexandria via LeMat-Bulk.

abc: 4.066 6.591 6.591
angles: 88.93 108.13 108.13
Atoms (fractional coordinates):
Cu 0.500 0.169 0.831
Cu 0.000 0.336 0.664
Cu 0.500 0.500 0.500
Cu 0.000 0.664 0.336
Cu 0.500 0.831 0.169
Ga 0.000 0.000 0.000
Li 0.255 0.087 0.423
Li 0.745 0.577 0.913
Li 0.749 0.249 0.249
Li 0.251 0.751 0.751
Li 0.255 0.423 0.087
Li 0.745 0.913 0.577

(2)
First-principles (PBE-GGA) data for CaCI2 after structural relaxation, as listed in Alexandria via LeMat-Bulk.

abc: 5.538 6.945 7.712
angles: 107.60 104.04 98.17
Atoms (fractional coordinates):
I 0.609 0.901 0.080
I 0.611 0.508 0.567
I 0.064 0.551 0.246
I 0.918 0.123 0.675
Ca 0.237 0.060 0.341
Ca 0.467 0.397 0.978
C 0.378 0.377 0.270
C 0.559 0.247 0.667

Distance to the lowest polymorph of the same formula, meV/atom: 799

(3)
First-principles (PBE-GGA) data for LaGeF after structural relaxation, as listed in Alexandria via LeMat-Bulk.

abc: 4.944 4.085 4.085
angles: 120.00 90.00 90.00
Atoms (fractional coordinates):
Ge 0.667 0.667 0.333
F 0.167 0.333 0.667
La 0.166 0.000 0.000

Distance to the lowest polymorph of the same formula, meV/atom: 479

(4)
First-principles (PBE-GGA) data for NaYMgPd2 after structural relaxation, as listed in Alexandria via LeMat-Bulk.

abc: 4.816 5.121 4.816
angles: 90.00 90.00 90.00
Atoms (fractional coordinates):
Y 0.000 0.500 0.000
Na 0.000 0.000 0.000
Mg 0.500 0.500 0.500
Pd 0.000 0.000 0.500
Pd 0.500 0.000 0.000

no.,volume (Å³ per atom),electronic total energy (eV per atom)
1,13.242,-2.98
2,33.345,-3.46
3,23.820,-5.62
4,23.756,-3.33